[1]
The following is a PBE calculation of PaCoAu after structural relaxation, from Alexandria.

Properties
Total DFT energy (no corrections) = -6.82 eV per atom
Space-group type = No. 107

Structure (POSCAR):
```
PaCoAu
1.0
-2.6267 -0.7868 1.6618
-1.1854 -1.4906 -2.5794
4.2662 -3.4413 2.0209
Pa Co Au
1 1 1
Direct
0.6917 0.6917 0.3833
0.3273 0.3273 0.6545
0.9811 0.9811 0.9621
```

---

[2]
The following is a PBE calculation of Nd2Sm7Ho after structural relaxation, from Alexandria.

Properties
Total DFT energy (no corrections) = -4.56 eV per atom
Space-group type = No. 65

Structure (POSCAR):
```
Nd2Sm7Ho
1.0
-2.7590 -1.8228 -1.1323
6.2280 -12.6534 5.1944
-8.5638 12.3055 1.0569
Sm Nd Ho
7 2 1
Direct
0.5000 0.3425 0.1466
0.5000 0.6575 0.8534
0.5000 0.8534 0.6575
0.5000 0.5000 0.5000
0.0000 0.1875 0.8125
0.5000 0.1466 0.3425
0.0000 0.8125 0.1875
0.5000 0.7049 0.2951
0.5000 0.2951 0.7049
0.0000 0.0000 0.0000
```

---

[3]
The following is a PBE calculation of Li2FeMo after structural relaxation, from Alexandria.

Properties
Total DFT energy (no corrections) = -5.55 eV per atom
Space-group type = No. 35

Structure (POSCAR):
```
Li2FeMo
1.0
2.6114 0.0684 0.0000
-0.9074 2.4496 0.0000
0.0000 0.0000 9.2042
Li Mo Fe
2 1 1
Direct
0.0000 0.0000 0.9783
0.5000 0.5000 0.2582
0.0000 0.0000 0.5190
0.5000 0.5000 0.7445
```

---

[4]
The following is a PBE calculation of Ce12PuZn6 after structural relaxation, from Alexandria.

Properties
Total DFT energy (no corrections) = -4.91 eV per atom
Space-group type = No. 148

Structure (POSCAR):
```
Ce12PuZn6
1.0
8.1971 -0.7154 -2.3763
-2.9636 7.6760 -2.3763
-0.5379 -0.7154 8.5176
Ce Zn Pu
12 6 1
Direct
0.5773 0.8408 0.3801
0.6640 0.9362 0.1357
0.9362 0.1357 0.6640
0.6199 0.4227 0.1592
0.8643 0.3360 0.0638
0.4227 0.1592 0.6199
0.3801 0.5773 0.8408
0.8408 0.3801 0.5773
0.1357 0.6640 0.9362
0.0638 0.8643 0.3360
0.3360 0.0638 0.8643
0.1592 0.6199 0.4227
0.2468 0.4078 0.0892
0.0892 0.2468 0.4078
0.7532 0.5922 0.9108
0.5922 0.9108 0.7532
0.4078 0.0892 0.2468
0.9108 0.7532 0.5922
0.0000 0.0000 0.0000
```

---

The lowest total DFT energy (no corrections) belongs to which entry?
PaCoAu